A relaxed As2PPtSe crystal. Source: Alexandria, functional PBE-GGA.

Lattice parameters (Å, degrees): 4.8094 4.8094 5.1048 90.00 90.00 90.00
Fractional coordinates of all 5 atoms:
As: 0.0000 0.5000 0.0000
As: 0.5000 0.0000 0.0000
P: 0.0000 0.0000 0.5000
Pt: 0.5000 0.5000 0.0000
Se: 0.5000 0.5000 0.5000

Density (g/cm³): 6.4
V (Å³/f.u.): 118.1
Formation energy without anion corrections (meV per atom): 871

=====

A relaxed As2PPtSe crystal. Source: Alexandria, functional PBE-GGA.

Lattice parameters (Å, degrees): 4.6531 4.6531 4.7034 90.00 90.00 90.00
Fractional coordinates of all 5 atoms:
As: 0.0000 0.5000 0.0000
As: 0.5000 0.0000 0.0000
P: 0.0000 0.0000 0.0000
Pt: 0.5000 0.5000 0.5000
Se: 0.0000 0.0000 0.5000

Density (g/cm³): 7.4
V (Å³/f.u.): 101.8
Formation energy without anion corrections (meV per atom): 874

=====

A relaxed Sn2AsPPt crystal. Source: Alexandria, functional PBE-GGA.

Lattice parameters (Å, degrees): 5.3756 5.3756 4.4393 90.00 90.00 90.00
Fractional coordinates of all 5 atoms:
Sn: 0.0000 0.5000 0.0000
Sn: 0.5000 0.0000 0.0000
As: 0.0000 0.0000 0.0000
P: 0.0000 0.0000 0.5000
Pt: 0.5000 0.5000 0.5000

Density (g/cm³): 7.0
DFT formation energy (eV per atom): 0.85
V (Å³/f.u.): 128.3